# 1
# V3FeCu2P6O24 (SCAN, PBEsol geometry)
# - N(E_F) (states/eV per atom) = 0.46
# - formation energy without anion corrections (eV per atom) = -2.2626
# - DFT total energy (eV/atom) = -10.96
# - total magnetic moment (μB/f.u.) = 7.00
data_V3FeCu2P6O24
_cell_length_a 8.4939
_cell_length_b 8.4939
_cell_length_c 20.5250
_cell_angle_alpha 90.00
_cell_angle_beta 90.00
_cell_angle_gamma 120.00
_space_group_name_H-M_alt 'R 3'
_space_group_IT_number 146
_space_group_name_Hall 'R 3'
loop_
_atom_site_label
_atom_site_fract_x
_atom_site_fract_y
_atom_site_fract_z
V1 0.0000 0.0000 0.0000
V2 0.0000 0.0000 0.2181
V3 0.0000 0.0000 0.5002
Fe1 0.0000 0.0000 0.7181
Cu1 0.0000 0.0000 0.3586
Cu2 0.0000 0.0000 0.8579
P1 0.0014 0.2921 0.6098
P2 0.0016 0.7113 0.1100
O1 0.0018 0.1882 0.5483
O2 0.0051 0.8160 0.0483
O3 0.0122 0.1800 0.2787
O4 0.0149 0.8245 0.1705
O5 0.0304 0.8373 0.7845
O6 0.1390 0.4690 0.3386
O7 0.1710 0.6875 0.1051
O8 0.1737 0.4833 0.6043

---

# 2
# Ca4AlNi (SCAN, PBEsol geometry)
# - N(E_F) (states/eV per atom) = 0.34
# - DFT total energy (eV/atom) = -9.63
# - total magnetic moment (μB/f.u.) = 0.94
data_Ca4AlNi
_cell_length_a 8.732
_cell_length_b 8.732
_cell_length_c 8.732
_cell_angle_alpha 90.00
_cell_angle_beta 90.00
_cell_angle_gamma 90.00
_space_group_name_H-M_alt 'F -4 3 m'
_space_group_IT_number 216
_space_group_name_Hall 'F -4 2 3'
loop_
_atom_site_label
_atom_site_fract_x
_atom_site_fract_y
_atom_site_fract_z
Ca1 0.125 0.125 0.125
Al1 0.250 0.250 0.750
Ni1 0.000 0.000 0.500

---

Q: Among the records above, which one has the lowest N(E_F)?
A: Ca4AlNi